(1)
## Pm5Sn2Pb2 (PBE-GGA)

Data for crystalline Pm5Sn2Pb2 at its relaxed geometry.

Cell: 7.189 8.988 10.642 Å, 114.98 109.74 90.00°
Element x y z (fractional)
Pm  0.224  0.673  0.863
Pm  0.776  0.811  0.137
Pm  0.139  0.173  0.863
Pm  0.861  0.311  0.137
Pm  0.301  0.998  0.321
Pm  0.699  0.677  0.679
Pm  0.520  0.498  0.321
Pm  0.480  0.177  0.679
Pm  0.133  0.746  0.500
Pm  0.867  0.246  0.500
Sn  0.152  0.602  0.150
Sn  0.848  0.453  0.850
Sn  0.497  0.102  0.150
Sn  0.503  0.953  0.850
Pb  0.000  0.973  0.000
Pb  0.500  0.473  0.000
Pb  0.271  0.403  0.500
Pb  0.729  0.903  0.500

Values from the calculation:
The value obtained for the formation energy is -0.44 eV per atom. As for the total magnetic moment: 0.00 μB per formula unit. As for the space-group type: Ima2, No. 46. For the offset from the most stable computed form, the calculation gives 242 meV per atom.

(2)
## La2NiN (PBE-GGA)

Data for crystalline La2NiN at its relaxed geometry.

Cell: 3.764 3.764 7.241 Å, 74.94 74.94 60.00°
Element x y z (fractional)
Ni  0.000  0.000  0.000
N  0.500  0.500  0.500
La  0.239  0.239  0.284
La  0.761  0.761  0.716

Values from the calculation:
The calculation puts the formation energy from raw total energies at -2.616 eV/f.u. As for the total magnetic moment: 0.00 μB per formula unit. As for the space-group type: R-3m, No. 166.

(3)
## CeHoBeGa (PBE-GGA)

Data for crystalline CeHoBeGa at its relaxed geometry.

Cell: 4.964 4.964 4.964 Å, 60.00 60.00 60.00°
Site moments in Bohr magnetons follow the coordinates.
Element x y z (fractional)
Be  0.750  0.750  0.750  0.00
Ga  0.250  0.250  0.250  0.00
Ho  0.500  0.500  0.500  -0.01
Ce  0.000  0.000  0.000  0.26

Values from the calculation:
The value obtained for the formation energy is -0.18 eV per atom. As for the total magnetic moment: 0.27 μB per formula unit. As for the space-group type: F-43m, No. 216.

(4)
## CaAlNi3 (PBE-GGA)

Data for crystalline CaAlNi3 at its relaxed geometry.

Cell: 4.491 4.491 4.491 Å, 90.00 90.00 90.00°
Element x y z (fractional)
Ni  0.000  0.500  0.000
Ni  0.000  0.000  0.500
Ni  0.500  0.000  0.000
Ca  0.000  0.000  0.000
Al  0.500  0.500  0.500

Values from the calculation:
The value obtained for the formation energy is 1.32 eV per atom. As for the total magnetic moment: 0.00 μB per formula unit. As for the space-group type: Pm-3m, No. 221. For the offset from the most stable computed form, the calculation gives 1174 meV per atom.

(5)
## LiPuSeCl (PBE-GGA)

Data for crystalline LiPuSeCl at its relaxed geometry.

Cell: 4.147 4.147 13.619 Å, 81.24 81.24 60.00°
Site moments in Bohr magnetons follow the coordinates.
Element x y z (fractional)
Li  0.811  0.811  0.566  0.01
Li  0.189  0.189  0.434  0.01
Pu  0.588  0.588  0.236  5.65
Pu  0.412  0.412  0.764  5.65
Se  0.123  0.123  0.630  -0.05
Se  0.877  0.877  0.370  -0.05
Cl  0.708  0.708  0.877  -0.05
Cl  0.292  0.292  0.123  -0.05

Values from the calculation:
The calculation puts the formation energy from raw total energies at -5.898 eV/f.u. As for the total magnetic moment: 6.00 μB per formula unit. As for the space-group type: R-3m, No. 166.

(6)
## CaLa2Co (PBE-GGA)

Data for crystalline CaLa2Co at its relaxed geometry.

Cell: 3.543 3.543 9.293 Å, 90.00 90.00 90.02°
Element x y z (fractional)
Ca  0.000  0.000  0.568
Co  0.500  0.500  0.776
La  0.000  0.000  0.920
La  0.500  0.500  0.235

Values from the calculation:
The value obtained for the formation energy is 0.10 eV per atom. As for the total magnetic moment: 0.00 μB per formula unit. As for the space-group type: P4mm, No. 99. For the offset from the most stable computed form, the calculation gives 171 meV per atom.

(7)
## WI3 (PBE-GGA)

Data for crystalline WI3 at its relaxed geometry.

Cell: 7.871 7.871 7.582 Å, 58.73 58.73 90.00°
Element x y z (fractional)
I  0.500  0.500  0.000
I  0.250  0.750  0.500
I  0.731  0.125  0.250
I  0.019  0.625  0.250
I  0.375  0.269  0.750
I  0.875  0.981  0.750
W  0.000  0.000  0.000
W  0.750  0.250  0.500

Values from the calculation:
The calculation puts the formation energy from raw total energies at 3.111 eV/f.u. As for the total magnetic moment: 0.00 μB per formula unit. As for the space-group type: I-42d, No. 122. For the offset from the most stable computed form, the calculation gives 0 meV per atom.

(8)
## LiZrTc2 (PBE-GGA)

Data for crystalline LiZrTc2 at its relaxed geometry.

Cell: 4.306 2.828 5.419 Å, 77.11 90.00 90.00°
Element x y z (fractional)
Li  0.500  0.821  0.759
Tc  0.000  0.967  0.023
Tc  0.500  0.215  0.209
Zr  0.000  0.497  0.509

Values from the calculation:
The value obtained for the formation energy is 0.10 eV per atom. As for the total magnetic moment: 0.00 μB per formula unit. As for the space-group type: Pm, No. 6. For the offset from the most stable computed form, the calculation gives 45 meV per atom.

(9)
## Th2ZnCoSi (PBE-GGA)

Data for crystalline Th2ZnCoSi at its relaxed geometry.

Cell: 4.138 6.968 8.415 Å, 114.41 90.00 90.00°
Element x y z (fractional)
Th  0.750  0.806  0.634
Th  0.750  0.721  0.051
Th  0.250  0.194  0.366
Th  0.250  0.279  0.949
Zn  0.250  0.683  0.327
Zn  0.750  0.317  0.673
Co  0.250  0.902  0.925
Co  0.750  0.098  0.075
Si  0.250  0.552  0.731
Si  0.750  0.448  0.269

Values from the calculation:
The calculation puts the formation energy from raw total energies at -1.942 eV/f.u. As for the total magnetic moment: 0.00 μB per formula unit. As for the space-group type: P2_1/m, No. 11.

(10)
## CeMg7Zn5 (PBE-GGA)

Data for crystalline CeMg7Zn5 at its relaxed geometry.

Cell: 7.341 7.341 7.341 Å, 135.82 97.64 98.62°
Site moments in Bohr magnetons follow the coordinates.
Element x y z (fractional)
Ce  0.005  0.000  0.005  0.78
Mg  0.654  0.000  0.654  0.00
Mg  0.346  0.000  0.346  0.00
Mg  0.343  0.347  0.996  0.00
Mg  0.650  0.653  0.996  0.00
Mg  0.779  0.500  0.279  0.00
Mg  0.796  0.293  0.503  0.00
Mg  0.210  0.707  0.503  0.00
Zn  0.495  0.995  0.000  -0.01
Zn  0.495  0.495  0.500  -0.01
Zn  0.006  0.505  0.000  -0.01
Zn  0.006  0.005  0.500  -0.01
Zn  0.215  0.500  0.715  0.00

Values from the calculation:
The value obtained for the formation energy is -0.13 eV per atom. As for the total magnetic moment: 0.78 μB per formula unit. As for the space-group type: Imm2, No. 44.

(11)
## ScIr2Br (PBE-GGA)

Data for crystalline ScIr2Br at its relaxed geometry.

Cell: 4.753 4.753 3.126 Å, 90.00 90.00 104.80°
Element x y z (fractional)
Br  0.000  0.500  0.500
Ir  0.000  0.000  0.000
Ir  0.500  0.500  0.000
Sc  0.500  0.000  0.500

Values from the calculation:
The calculation puts the formation energy from raw total energies at 0.963 eV/f.u. As for the total magnetic moment: 0.00 μB per formula unit. As for the space-group type: Cmmm, No. 65. For the offset from the most stable computed form, the calculation gives 542 meV per atom.

(12)
## NdMgCdSn (PBE-GGA)

Data for crystalline NdMgCdSn at its relaxed geometry.

Cell: 5.260 5.260 5.260 Å, 60.00 60.00 60.00°
Element x y z (fractional)
Mg  0.000  0.000  0.000
Nd  0.500  0.500  0.500
Sn  0.250  0.250  0.250
Cd  0.750  0.750  0.750

Values from the calculation:
The value obtained for the formation energy is -0.33 eV per atom. As for the total magnetic moment: 0.00 μB per formula unit. As for the space-group type: F-43m, No. 216. For the offset from the most stable computed form, the calculation gives 131 meV per atom.

(13)
## ZrCo2 (PBE-GGA)

Data for crystalline ZrCo2 at its relaxed geometry.

Cell: 8.899 8.899 3.708 Å, 90.00 90.00 161.39°
Site moments in Bohr magnetons follow the coordinates.
Element x y z (fractional)
Zr  0.682  0.318  0.250  -0.09
Zr  0.318  0.682  0.750  -0.09
Co  0.429  0.571  0.250  1.46
Co  0.571  0.429  0.750  1.46
Co  0.956  0.044  0.750  1.42
Co  0.044  0.956  0.250  1.42

Values from the calculation:
The value obtained for the formation energy is 0.18 eV per atom. As for the total magnetic moment: 2.77 μB per formula unit. As for the space-group type: Cmcm, No. 63.

(14)
## TaGaPdRh (PBE-GGA)

Data for crystalline TaGaPdRh at its relaxed geometry.

Cell: 4.452 4.452 4.452 Å, 60.00 60.00 60.00°
Element x y z (fractional)
Rh  0.000  0.000  0.000
Ga  0.250  0.250  0.250
Pd  0.500  0.500  0.500
Ta  0.750  0.750  0.750

Values from the calculation:
The value obtained for the formation energy is -0.43 eV per atom. As for the total magnetic moment: 0.00 μB per formula unit. As for the space-group type: F-43m, No. 216.

(15)
## Tb5PmEr5 (PBE-GGA)

Data for crystalline Tb5PmEr5 at its relaxed geometry.

Cell: 6.956 9.477 8.163 Å, 115.65 52.95 121.86°
Element x y z (fractional)
Tb  0.854  0.642  0.156
Tb  0.745  0.656  0.679
Tb  0.500  0.000  0.000
Tb  0.255  0.344  0.321
Tb  0.146  0.358  0.844
Pm  0.000  0.000  0.000
Er  0.679  0.285  0.354
Er  0.666  0.314  0.787
Er  0.000  0.000  0.500
Er  0.334  0.686  0.213
Er  0.321  0.715  0.646

Values from the calculation:
The value obtained for the formation energy is 0.14 eV per atom. As for the total magnetic moment: 0.00 μB per formula unit. As for the space-group type: P-1, No. 2. For the offset from the most stable computed form, the calculation gives 0 meV per atom.

(16)
## CeZn3Ni (PBE-GGA)

Data for crystalline CeZn3Ni at its relaxed geometry.

Cell: 3.926 8.174 10.839 Å, 90.00 90.00 90.00°
Site moments in Bohr magnetons follow the coordinates.
Element x y z (fractional)
Ce  0.750  0.829  0.990  0.37
Ce  0.250  0.671  0.490  0.37
Ce  0.750  0.329  0.510  0.37
Ce  0.250  0.171  0.010  0.37
Zn  0.250  0.550  0.086  0.00
Zn  0.750  0.450  0.914  0.00
Zn  0.250  0.050  0.414  0.00
Zn  0.750  0.950  0.586  0.00
Zn  0.250  0.405  0.738  0.00
Zn  0.750  0.095  0.238  0.00
Zn  0.250  0.905  0.762  0.00
Zn  0.750  0.653  0.716  0.00
Zn  0.250  0.347  0.284  0.00
Zn  0.750  0.153  0.784  0.00
Zn  0.750  0.595  0.262  0.00
Zn  0.250  0.847  0.216  0.00
Ni  0.250  0.146  0.631  -0.02
Ni  0.250  0.646  0.869  -0.02
Ni  0.750  0.354  0.131  -0.02
Ni  0.750  0.854  0.369  -0.02

Values from the calculation:
The value obtained for the formation energy is -0.27 eV per atom. As for the total magnetic moment: 0.43 μB per formula unit. As for the space-group type: Pnma, No. 62. For the offset from the most stable computed form, the calculation gives 0 meV per atom.

(17)
## PrSmDy (PBE-GGA)

Data for crystalline PrSmDy at its relaxed geometry.

Cell: 3.639 3.639 17.676 Å, 90.00 90.00 120.00°
Element x y z (fractional)
Dy  0.667  0.333  0.282
Dy  0.333  0.667  0.782
Sm  0.000  0.000  0.619
Sm  0.000  0.000  0.119
Pr  0.667  0.333  0.949
Pr  0.333  0.667  0.449

Values from the calculation:
The value obtained for the formation energy is 0.01 eV per atom. As for the total magnetic moment: 0.00 μB per formula unit. As for the space-group type: P6_3mc, No. 186. For the offset from the most stable computed form, the calculation gives 0 meV per atom.

(18)
## YMn2P (PBE-GGA)

Data for crystalline YMn2P at its relaxed geometry.

Cell: 3.997 3.812 5.080 Å, 75.23 90.00 90.00°
Site moments in Bohr magnetons follow the coordinates.
Element x y z (fractional)
Mn  0.000  0.132  0.036  3.22
Mn  0.000  0.368  0.464  3.22
P  0.500  0.250  0.250  -0.03
Y  0.500  0.750  0.750  -0.07

Values from the calculation:
The value obtained for the formation energy is -0.13 eV per atom. As for the total magnetic moment: 6.59 μB per formula unit. As for the space-group type: P2/m, No. 10.

(19)
## LiTb2PmSe5 (PBE-GGA)

Data for crystalline LiTb2PmSe5 at its relaxed geometry.

Cell: 4.098 8.820 12.485 Å, 90.00 90.00 103.43°
Element x y z (fractional)
Li  0.511  0.023  0.983
Li  0.489  0.977  0.483
Tb  0.878  0.755  0.792
Tb  0.109  0.218  0.684
Tb  0.122  0.245  0.292
Tb  0.891  0.782  0.184
Pm  0.805  0.611  0.499
Pm  0.195  0.389  0.999
Se  0.363  0.727  0.002
Se  0.692  0.383  0.833
Se  0.501  0.002  0.787
Se  0.288  0.577  0.666
Se  0.957  0.915  0.578
Se  0.637  0.273  0.502
Se  0.308  0.617  0.333
Se  0.499  0.998  0.287
Se  0.712  0.423  0.166
Se  0.043  0.085  0.078

Values from the calculation:
The calculation puts the formation energy from raw total energies at -15.134 eV/f.u. As for the total magnetic moment: 0.00 μB per formula unit. As for the space-group type: Cmc2_1, No. 36.

(20)
## Ba4SbI4 (PBE-GGA)

Data for crystalline Ba4SbI4 at its relaxed geometry.

Cell: 5.042 8.706 11.185 Å, 75.31 76.97 73.17°
Element x y z (fractional)
Ba  0.307  0.100  0.286
Ba  0.693  0.900  0.714
Ba  0.911  0.275  0.904
Ba  0.089  0.725  0.096
Sb  0.500  0.000  0.000
I  0.697  0.405  0.200
I  0.891  0.814  0.404
I  0.303  0.595  0.800
I  0.109  0.186  0.596

Values from the calculation:
The calculation puts the formation energy from raw total energies at -13.723 eV/f.u. As for the total magnetic moment: 0.00 μB per formula unit. As for the space-group type: C2/m, No. 12.